CdHRuRh2 | PBE-GGA | optimized geometry

a b c (Å): 4.0219 4.0219 3.9569
angles (deg): 90.00 90.00 90.00
With the nearest neighbours (Å) after each atom.
Atoms (fractional coordinates):
Cd 0.0000 0.0000 0.0000  8 Rh 2.82, 4 Ru 2.84
H 0.5000 0.5000 0.5000  2 Ru 1.98, 4 Rh 2.01
Ru 0.5000 0.5000 0.0000  2 H 1.98
Rh 0.0000 0.5000 0.5000  2 H 2.01
Rh 0.5000 0.0000 0.5000  2 H 2.01

Values from the calculation:
- Total energy: -5.51 eV/atom
- SG: No. 123



Sc2CdHRh | PBE-GGA | optimized geometry

a b c (Å): 4.6098 4.6098 3.7327
angles (deg): 90.00 90.00 90.00
With the nearest neighbours (Å) after each atom.
Atoms (fractional coordinates):
Sc 0.0000 0.5000 0.0000  2 H 2.30
Sc 0.5000 0.0000 0.0000  2 H 2.30
Cd 0.0000 0.0000 0.5000  8 Sc 2.97, 4 Rh 3.26
H 0.5000 0.5000 0.0000  2 Rh 1.87
Rh 0.5000 0.5000 0.5000  2 H 1.87

Values from the calculation:
- Total energy: -5.39 eV/atom
- SG: No. 123



SmCdH8Rh2 | PBE-GGA | optimized geometry

a b c (Å): 6.1683 6.1683 6.1683
angles (deg): 46.89 46.89 46.89
With the nearest neighbours (Å) after each atom.
Atoms (fractional coordinates):
Sm 0.0000 0.0000 0.0000  6 H 2.29
Cd 0.5000 0.5000 0.5000  6 H 2.15
H 0.0731 0.8731 0.3978  1 Rh 1.72
H 0.1269 0.6022 0.9269  1 Rh 1.72
H 0.3084 0.3084 0.3084  1 Rh 1.71
H 0.3978 0.0731 0.8731  1 Rh 1.72
H 0.6022 0.9269 0.1269  1 Rh 1.72
H 0.6916 0.6916 0.6916  1 Rh 1.71
H 0.8731 0.3978 0.0731  1 Rh 1.72
H 0.9269 0.1269 0.6022  1 Rh 1.72
Rh 0.2046 0.2046 0.2046  4 H 1.71-1.72
Rh 0.7954 0.7954 0.7954  4 H 1.71-1.72

Values from the calculation:
- Total energy: -4.05 eV/atom
- SG: No. 148



SmCdH6Rh2 | PBE-GGA | optimized geometry

a b c (Å): 6.1539 6.1539 5.6584
angles (deg): 100.37 100.37 101.17
With the nearest neighbours (Å) after each atom.
Atoms (fractional coordinates):
Sm 0.1650 0.8350 0.7500  10 H 2.37-2.46
Sm 0.8350 0.1650 0.2500  10 H 2.37-2.46
Cd 0.3748 0.6252 0.2500  4 H 2.09-2.33
Cd 0.6252 0.3748 0.7500  4 H 2.09-2.33
H 0.0337 0.5543 0.3776  1 Rh 1.65, 1 H 1.72
H 0.1674 0.1687 0.0650  2 Rh 1.80-1.82
H 0.1687 0.1674 0.5650  2 Rh 1.80-1.82
H 0.3169 0.5214 0.8674  1 Rh 1.66
H 0.4457 0.9663 0.1224  1 Rh 1.65, 1 H 1.72
H 0.4786 0.6831 0.6326  1 Rh 1.66
H 0.5214 0.3169 0.3674  1 Rh 1.66
H 0.5543 0.0337 0.8776  1 Rh 1.65, 1 H 1.72
H 0.6831 0.4786 0.1326  1 Rh 1.66
H 0.8313 0.8326 0.4350  2 Rh 1.80-1.82
H 0.8326 0.8313 0.9350  2 Rh 1.80-1.82
H 0.9663 0.4457 0.6224  1 Rh 1.65, 1 H 1.72
Rh 0.0839 0.3164 0.8252  4 H 1.65-1.82
Rh 0.3164 0.0839 0.3252  4 H 1.65-1.82
Rh 0.6836 0.9161 0.6748  4 H 1.65-1.82
Rh 0.9161 0.6836 0.1748  4 H 1.65-1.82

Values from the calculation:
- Total energy: -4.34 eV/atom
- SG: No. 15



CdSnHRh2 | PBE-GGA | optimized geometry

a b c (Å): 4.1973 4.1973 4.0006
angles (deg): 90.00 90.00 90.00
With the nearest neighbours (Å) after each atom.
Atoms (fractional coordinates):
Cd 0.0000 0.0000 0.0000  2 H 2.00
Sn 0.5000 0.5000 0.0000  8 Rh 2.90, 4 Cd 2.97
H 0.0000 0.0000 0.5000  2 Cd 2.00, 4 Rh 2.10
Rh 0.0000 0.5000 0.5000  2 H 2.10
Rh 0.5000 0.0000 0.5000  2 H 2.10

Values from the calculation:
- Total energy: -4.70 eV/atom
- SG: No. 123



Sr2CdHRh | PBE-GGA | optimized geometry

a b c (Å): 6.7601 4.3862 9.0802
angles (deg): 90.00 109.35 90.00
With the nearest neighbours (Å) after each atom.
Atoms (fractional coordinates):
Sr 0.2363 0.2500 0.3982  2 H 3.00, 2 Rh 3.16
Sr 0.2432 0.2500 0.9693  1 H 2.57
Sr 0.7568 0.7500 0.0307  1 H 2.57
Sr 0.7637 0.7500 0.6018  2 H 3.00, 2 Rh 3.16
Cd 0.3178 0.7500 0.7053  2 Rh 2.75
Cd 0.6822 0.2500 0.2947  2 Rh 2.75
H 0.1580 0.7500 0.1604  1 Rh 1.68
H 0.8420 0.2500 0.8396  1 Rh 1.68
Rh 0.4219 0.7500 0.2303  1 H 1.68
Rh 0.5781 0.2500 0.7697  1 H 1.68

Values from the calculation:
- ΔE to the lowest computed polymorph: 0.0 meV/atom
- SG: No. 11



Sr2CdHRh | PBE-GGA | optimized geometry

a b c (Å): 5.5414 5.5414 3.6972
angles (deg): 90.00 90.00 90.00
With the nearest neighbours (Å) after each atom.
Atoms (fractional coordinates):
Sr 0.0000 0.5000 0.0000  2 H 2.77
Sr 0.5000 0.0000 0.0000  2 H 2.77
Cd 0.0000 0.0000 0.5000  8 Sr 3.33, 2 Cd 3.70
H 0.5000 0.5000 0.0000  2 Rh 1.85
Rh 0.5000 0.5000 0.5000  2 H 1.85

Values from the calculation:
- ΔE to the lowest computed polymorph: 62.9 meV/atom
- SG: No. 123



SrCd2H8Rh | PBE-GGA | optimized geometry

a b c (Å): 4.6509 4.6509 6.8884
angles (deg): 90.00 90.00 120.00
With the nearest neighbours (Å) after each atom.
Atoms (fractional coordinates):
Sr 0.0000 0.0000 0.0000  12 H 2.69-2.71
Cd 0.3333 0.6667 0.3244  1 H 1.90
Cd 0.6667 0.3333 0.6756  1 H 1.90
H 0.1615 0.3231 0.6581  1 Rh 1.70
H 0.1615 0.8385 0.6581  1 Rh 1.70
H 0.3231 0.1615 0.3419  1 Rh 1.70
H 0.3333 0.6667 0.0479  1 Cd 1.90
H 0.6667 0.3333 0.9521  1 Cd 1.90
H 0.6769 0.8385 0.6581  1 Rh 1.70
H 0.8385 0.1615 0.3419  1 Rh 1.70
H 0.8385 0.6769 0.3419  1 Rh 1.70
Rh 0.0000 0.0000 0.5000  6 H 1.70

Values from the calculation:
- Total energy: -3.25 eV/atom
- SG: No. 164



SrCdH8Rh2 | PBE-GGA | optimized geometry

a b c (Å): 6.5261 6.5261 6.5261
angles (deg): 44.77 44.77 44.77
With the nearest neighbours (Å) after each atom.
Atoms (fractional coordinates):
Sr 0.0000 0.0000 0.0000  6 H 2.45
Cd 0.5000 0.5000 0.5000  6 H 2.27
H 0.0580 0.9018 0.3986  2 Rh 1.74-1.86, 1 H 1.89
H 0.0982 0.6014 0.9420  2 Rh 1.74-1.86, 1 H 1.89
H 0.2942 0.2942 0.2942  1 Rh 1.71
H 0.3986 0.0580 0.9018  2 Rh 1.74-1.86, 1 H 1.89
H 0.6014 0.9420 0.0982  2 Rh 1.74-1.86, 1 H 1.89
H 0.7058 0.7058 0.7058  1 Rh 1.71
H 0.9018 0.3986 0.0580  2 Rh 1.74-1.86, 1 H 1.89
H 0.9420 0.0982 0.6014  2 Rh 1.74-1.86, 1 H 1.89
Rh 0.1972 0.1972 0.1972  7 H 1.71-1.86
Rh 0.8028 0.8028 0.8028  7 H 1.71-1.86

Values from the calculation:
- Total energy: -3.86 eV/atom
- SG: No. 148



SrCdH6Rh | PBE-GGA | optimized geometry

a b c (Å): 4.9105 4.9105 4.6608
angles (deg): 90.00 90.00 120.00
With the nearest neighbours (Å) after each atom.
Atoms (fractional coordinates):
Sr 0.0000 0.0000 0.0000  12 H 2.67-2.74
Cd 0.3333 0.6667 0.5000  6 H 2.03
H 0.5170 0.0494 0.7606  1 Rh 1.71
H 0.5170 0.4676 0.2394  1 Rh 1.71
H 0.5324 0.0494 0.2394  1 Rh 1.71
H 0.5324 0.4830 0.7606  1 Rh 1.71
H 0.9506 0.4676 0.7606  1 Rh 1.71
H 0.9506 0.4830 0.2394  1 Rh 1.71
Rh 0.6667 0.3333 0.5000  6 H 1.71

Values from the calculation:
- Total energy: -3.58 eV/atom
- SG: No. 149



Sr2CdH6Rh | PBE-GGA | optimized geometry

a b c (Å): 5.4668 5.4668 5.2378
angles (deg): 90.00 90.00 120.00
With the nearest neighbours (Å) after each atom.
Atoms (fractional coordinates):
Sr 0.3333 0.6667 0.2161  9 H 2.71-2.74
Sr 0.6667 0.3333 0.7839  9 H 2.71-2.74
Cd 0.0000 0.0000 0.5000  6 H 2.20
H 0.1591 0.3181 0.8066  1 Rh 1.82
H 0.1591 0.8409 0.8066  1 Rh 1.82
H 0.3181 0.1591 0.1934  1 Rh 1.82
H 0.6819 0.8409 0.8066  1 Rh 1.82
H 0.8409 0.1591 0.1934  1 Rh 1.82
H 0.8409 0.6819 0.1934  1 Rh 1.82
Rh 0.0000 0.0000 0.0000  6 H 1.82

Values from the calculation:
- Total energy: -3.43 eV/atom
- SG: No. 164



Ta2CdHRh | PBE-GGA | optimized geometry

a b c (Å): 4.1498 4.1498 4.1414
angles (deg): 90.00 90.00 90.00
With the nearest neighbours (Å) after each atom.
Atoms (fractional coordinates):
Ta 0.0000 0.5000 0.0000  2 H 2.07
Ta 0.5000 0.0000 0.0000  2 H 2.07
Cd 0.0000 0.0000 0.5000  8 Ta 2.93, 4 Rh 2.93
H 0.5000 0.5000 0.0000  2 Rh 2.07, 4 Ta 2.07
Rh 0.5000 0.5000 0.5000  2 H 2.07

Values from the calculation:
- Total energy: -7.07 eV/atom
- SG: No. 123